# 1
A plane-wave DFT calculation with PBE was carried out for a relaxed UGaPt crystal.

abc: 7.012 7.012 4.126
angles: 90.00 90.00 120.00
Each line ends with the local moment (μB).
Positions (direct):
Ga1 0.241 0.000 0.000  -0.03
Ga2 0.000 0.241 0.000  -0.03
Ga3 0.759 0.759 0.000  -0.03
Pt1 0.667 0.333 0.000  -0.08
Pt2 0.333 0.667 0.000  -0.08
Pt3 0.000 0.000 0.500  -0.04
U1 0.576 0.000 0.500  2.03
U2 0.000 0.576 0.500  2.14
U3 0.424 0.424 0.500  1.99

Summary:
Symmetry: No. 189
Crystal system: hexagonal
V: 175.7 Å³ per cell


# 2
A plane-wave DFT calculation with PBE was carried out for a relaxed UGaPt crystal.

abc: 8.278 8.278 2.877
angles: 90.00 90.00 120.00
Each line ends with the local moment (μB).
Positions (direct):
U1 0.308 0.000 0.000  2.42
U2 0.000 0.308 0.000  2.33
U3 0.692 0.692 0.000  2.41
Pt1 0.000 0.644 0.500  -0.05
Pt2 0.356 0.356 0.500  -0.03
Pt3 0.644 0.000 0.500  -0.03
Ga1 0.333 0.667 0.000  0.01
Ga2 0.000 0.000 0.500  -0.01
Ga3 0.667 0.333 0.000  0.01

Summary:
Symmetry: No. 189
Crystal system: hexagonal
V: 170.7 Å³ per cell


# 3
A plane-wave DFT calculation with PBE was carried out for a relaxed UGaPt crystal.

abc: 4.561 4.561 4.561
angles: 60.00 60.00 60.00
Positions (direct):
Ga1 0.250 0.250 0.250
U1 0.750 0.750 0.750
Pt1 0.000 0.000 0.000

Summary:
Symmetry: No. 216
Crystal system: cubic
V: 67.1 Å³ per cell


VASP energy? In order: -66.9 -63.8 -21.6 eV/cell.